# 1
Entry from Alexandria: a geometry-optimized FeSb2PdSe structure (PBE).

Crystal system: tetragonal
Raw formation energy (meV/atom): 603.0

Cell: 5.1414 5.1414 4.8493 Å, 90.00 90.00 90.00°
Space group P4/mmm (No. 123)
One atom of each set of equivalent atoms:
Fe 0.0000 0.0000 0.0000 (multiplicity 1)
Sb 0.0000 0.5000 0.5000 (multiplicity 2)
Pd 0.0000 0.0000 0.5000 (multiplicity 1)
Se 0.5000 0.5000 0.0000 (multiplicity 1)

=====

# 2
Entry from Alexandria: a geometry-optimized Ta2FeSbPd structure (PBE).

Crystal system: tetragonal
Raw formation energy (meV/atom): 1707.7

Cell: 5.0590 5.0590 4.7489 Å, 90.00 90.00 90.00°
Space group P4/mmm (No. 123)
One atom of each set of equivalent atoms:
Ta 0.0000 0.5000 0.0000 (multiplicity 2)
Fe 0.0000 0.0000 0.5000 (multiplicity 1)
Sb 0.5000 0.5000 0.0000 (multiplicity 1)
Pd 0.5000 0.5000 0.5000 (multiplicity 1)

=====

# 3
Entry from Alexandria: a geometry-optimized Sc3FePd structure (PBE).

Formation energy (eV/atom): -0.067
Crystal system: cubic
Energy above the most stable polymorph in this dataset (meV/atom): 0

Cell: 4.7190 4.7190 4.7190 Å, 90.00 90.00 90.00°
Space group Pm-3m (No. 221)
One atom of each set of equivalent atoms:
Sc 0.0000 0.0000 0.5000 (multiplicity 3)
Fe 0.0000 0.0000 0.0000 (multiplicity 1)
Pd 0.5000 0.5000 0.5000 (multiplicity 1)

=====

# 4
Entry from Alexandria: a geometry-optimized Sc2FePd9 structure (PBE).

Formation energy (eV/atom): -0.588
Crystal system: tetragonal

Cell: 3.9707 3.9707 11.8988 Å, 90.00 90.00 90.00°
Space group P4/mmm (No. 123)
One atom of each set of equivalent atoms:
Sc 0.0000 0.0000 0.1696 (multiplicity 2)
Fe 0.0000 0.0000 0.5000 (multiplicity 1)
Pd 0.0000 0.5000 0.0000 (multiplicity 2)
Pd 0.0000 0.5000 0.3409 (multiplicity 4)
Pd 0.5000 0.5000 0.1701 (multiplicity 2)
Pd 0.5000 0.5000 0.5000 (multiplicity 1)

=====

# 5
Entry from Alexandria: a geometry-optimized ScFe2Pd7 structure (PBE).

Formation energy (eV/atom): 0.154
Crystal system: orthorhombic

Cell: 7.2226 12.4020 4.2852 Å, 90.00 90.00 90.00°
Space group Cmmm (No. 65)
One atom of each set of equivalent atoms:
Sc 0.0000 0.0000 0.0000 (multiplicity 2)
Fe 0.0000 0.3025 0.5000 (multiplicity 4)
Pd 0.0000 0.2137 0.0000 (multiplicity 4)
Pd 0.0000 0.5000 0.5000 (multiplicity 2)
Pd 0.1867 0.1153 0.5000 (multiplicity 8)

=====

# 6
Entry from Alexandria: a geometry-optimized ScFe2Pd structure (PBE).

Formation energy (eV/atom): 0.105
Crystal system: tetragonal

Cell: 3.6542 3.6542 19.1307 Å, 90.00 90.00 90.00°
Space group I-42d (No. 122)
One atom of each set of equivalent atoms:
Sc 0.0000 0.0000 0.0000 (multiplicity 4)
Fe 0.2400 0.2500 0.6250 (multiplicity 8)
Pd 0.0000 0.0000 0.5000 (multiplicity 4)

=====

# 7
Entry from Alexandria: a geometry-optimized Sc4FePd structure (PBE).

Formation energy (eV/atom): -0.370
Crystal system: monoclinic

Cell: 8.2207 11.9322 5.6991 Å, 90.00 119.85 90.00°
Space group C2/c (No. 15)
One atom of each set of equivalent atoms:
Sc 0.1166 0.1732 0.0878 (multiplicity 8)
Sc 0.2120 0.4335 0.3083 (multiplicity 8)
Fe 0.0000 0.0021 0.7500 (multiplicity 4)
Pd 0.0000 0.3647 0.7500 (multiplicity 4)

=====

# 8
Entry from Alexandria: a geometry-optimized Sc4FePd2 structure (PBE).

Formation energy (eV/atom): -0.252
Crystal system: tetragonal

Cell: 4.6603 4.6603 13.5756 Å, 90.00 90.00 90.00°
Space group I4/mmm (No. 139)
One atom of each set of equivalent atoms:
Sc 0.0000 0.0000 0.1815 (multiplicity 4)
Sc 0.0000 0.5000 0.0000 (multiplicity 4)
Fe 0.0000 0.0000 0.0000 (multiplicity 2)
Pd 0.0000 0.0000 0.3744 (multiplicity 4)

=====

# 9
Entry from Alexandria: a geometry-optimized Sc8FePd2 structure (PBE).

Formation energy (eV/atom): -0.264
Crystal system: monoclinic

Cell: 7.4156 13.3010 5.1756 Å, 90.00 115.44 90.00°
Space group Cm (No. 8)
One atom of each set of equivalent atoms:
Sc 0.0000 0.0000 0.0000 (multiplicity 2)
Sc 0.0754 0.3830 0.8352 (multiplicity 4)
Sc 0.1223 0.1168 0.5696 (multiplicity 4)
Sc 0.1967 0.5000 0.4036 (multiplicity 2)
Sc 0.3491 0.1948 0.2021 (multiplicity 4)
Fe 0.3483 0.0000 0.1976 (multiplicity 2)
Pd 0.3478 0.2961 0.7004 (multiplicity 4)

=====

# 10
Entry from Alexandria: a geometry-optimized Sc2FeSiPd structure (PBE).

Crystal system: tetragonal
Raw formation energy (meV/atom): 509.7

Cell: 4.9802 4.9802 4.4164 Å, 90.00 90.00 90.00°
Space group P4/mmm (No. 123)
One atom of each set of equivalent atoms:
Sc 0.0000 0.5000 0.0000 (multiplicity 2)
Fe 0.0000 0.0000 0.5000 (multiplicity 1)
Si 0.5000 0.5000 0.5000 (multiplicity 1)
Pd 0.5000 0.5000 0.0000 (multiplicity 1)

=====

# 11
Entry from Alexandria: a geometry-optimized Sc2FeSnPd structure (PBE).

Formation energy (eV/atom): 0.705
Crystal system: tetragonal

Cell: 5.3038 5.3038 4.6933 Å, 90.00 90.00 90.00°
Space group P4/mmm (No. 123)
One atom of each set of equivalent atoms:
Sc 0.0000 0.5000 0.0000 (multiplicity 2)
Fe 0.0000 0.0000 0.5000 (multiplicity 1)
Sn 0.0000 0.0000 0.0000 (multiplicity 1)
Pd 0.5000 0.5000 0.5000 (multiplicity 1)

=====

# 12
Entry from Alexandria: a geometry-optimized ScFePd2W structure (PBE).

Formation energy (eV/atom): 1.449
Crystal system: tetragonal

Cell: 4.6124 4.6124 4.2000 Å, 90.00 90.00 90.00°
Space group P4/mmm (No. 123)
One atom of each set of equivalent atoms:
Sc 0.0000 0.0000 0.0000 (multiplicity 1)
Fe 0.0000 0.0000 0.5000 (multiplicity 1)
Pd 0.0000 0.5000 0.0000 (multiplicity 2)
W 0.5000 0.5000 0.5000 (multiplicity 1)

=====

Copy entry 3 word for word.
Entry from Alexandria: a geometry-optimized Sc3FePd structure (PBE).

Formation energy (eV/atom): -0.067
Crystal system: cubic
Energy above the most stable polymorph in this dataset (meV/atom): 0

Cell: 4.7190 4.7190 4.7190 Å, 90.00 90.00 90.00°
Space group Pm-3m (No. 221)
One atom of each set of equivalent atoms:
Sc 0.0000 0.0000 0.5000 (multiplicity 3)
Fe 0.0000 0.0000 0.0000 (multiplicity 1)
Pd 0.5000 0.5000 0.5000 (multiplicity 1)